1.
The following is a PBE-GGA calculation of a relaxed structure of NiPt2Rh3, from Alexandria.

Its magnetic moment is 0.9 μB per formula unit. Its volume is 15.2 Å³/atom. The calculation puts the distance to the lowest polymorph of the same formula at 6 meV per atom.

Unit cell a=2.7088 b=6.5846 c=11.5527 alpha=64.76 beta=83.27 gamma=78.13
With the nearest neighbours (Å) after each atom.
Element x y z (fractional)
Rh1 0.3128 0.3060 0.0685  7 Rh 2.62-2.71, 3 Pt 2.64-2.89
Rh2 0.1051 0.0360 0.7538  3 Pt 2.58-2.74, 2 Ni 2.63, 6 Rh 2.67-2.71
Rh3 0.2117 0.2723 0.3044  2 Ni 2.61, 5 Rh 2.62-2.71, 4 Pt 2.67-2.74
Rh4 0.8949 0.9640 0.2462  3 Pt 2.58-2.74, 2 Ni 2.63, 6 Rh 2.67-2.71
Rh5 0.7883 0.7277 0.6956  2 Ni 2.61, 5 Rh 2.62-2.71, 4 Pt 2.67-2.74
Rh6 0.6872 0.6940 0.9315  7 Rh 2.62-2.71, 3 Pt 2.64-2.89
Ni1 0.4637 0.4199 0.6527  4 Pt 2.54-2.68, 4 Rh 2.61-2.63, 2 Ni 2.71
Ni2 0.5363 0.5801 0.3473  4 Pt 2.54-2.68, 4 Rh 2.61-2.63, 2 Ni 2.71
Pt1 0.6487 0.1767 0.5260  2 Ni 2.54-2.56, 2 Pt 2.71, 5 Rh 2.72-2.74
Pt2 0.0862 0.7005 0.1270  5 Rh 2.58-2.89, 2 Ni 2.68, 2 Pt 2.71
Pt3 0.9138 0.2995 0.8730  5 Rh 2.58-2.89, 2 Ni 2.68, 2 Pt 2.71
Pt4 0.3513 0.8233 0.4740  2 Ni 2.54-2.56, 2 Pt 2.71, 5 Rh 2.72-2.74

=====

2.
The following is a PBE-GGA calculation of a relaxed structure of NiPt5Rh3, from Alexandria.

Its magnetic moment is 0.0 μB per formula unit. Its volume is 16.0 Å³/atom. As for the energy: -0.446 Ry/atom.

Unit cell a=6.6247 b=6.6247 c=8.0768 alpha=114.21 beta=114.21 gamma=90.00
With the nearest neighbours (Å) after each atom.
Element x y z (fractional)
Rh1 0.3779 0.8780 0.0000  1 Rh 2.29, 2 Pt 2.48
Rh2 0.2500 0.2500 0.5000  8 Pt 2.71
Rh3 0.1221 0.3779 0.0000  1 Rh 2.29, 2 Pt 2.48
Rh4 0.6221 0.1221 0.0000  1 Rh 2.29, 2 Pt 2.48
Rh5 0.8779 0.6221 0.0000  1 Rh 2.29, 2 Pt 2.48
Rh6 0.7500 0.7500 0.5000  8 Pt 2.71
Pt1 0.0000 0.0000 0.0000  4 Rh 2.63
Pt2 0.1340 0.0671 0.7011  1 Ni 2.42, 3 Rh 2.48-2.71
Pt3 0.3660 0.8660 0.2989  1 Ni 2.42, 3 Rh 2.48-2.71
Pt4 0.5671 0.6340 0.7011  1 Ni 2.42, 3 Rh 2.48-2.71
Pt5 0.5000 0.5000 0.0000  4 Rh 2.63
Pt6 0.0671 0.5671 0.7011  1 Ni 2.42, 3 Rh 2.48-2.71
Pt7 0.9329 0.4329 0.2989  1 Ni 2.42, 3 Rh 2.48-2.71
Pt8 0.8660 0.9329 0.2989  1 Ni 2.42, 3 Rh 2.48-2.71
Pt9 0.6340 0.1340 0.7011  1 Ni 2.42, 3 Rh 2.48-2.71
Pt10 0.4329 0.3660 0.2989  1 Ni 2.42, 3 Rh 2.48-2.71
Ni1 0.2500 0.7500 0.5000  4 Pt 2.42
Ni2 0.7500 0.2500 0.5000  4 Pt 2.42

=====

3.
The following is a PBE-GGA calculation of a relaxed structure of Ni8Pt6Rh, from Alexandria.

Its magnetic moment is 8.0 μB per formula unit. Its volume is 13.6 Å³/atom. The calculation puts the distance to the lowest polymorph of the same formula at 0 meV per atom.

Unit cell a=6.6093 b=6.6093 c=6.6093 alpha=59.96 beta=59.96 gamma=59.96
With the nearest neighbours (Å) after each atom.
Element x y z (fractional)
Pt1 0.0520 0.5306 0.2689  5 Ni 2.49-2.75, 3 Pt 2.63-2.74, 1 Rh 2.63
Pt2 0.4694 0.7311 0.9480  5 Ni 2.49-2.75, 3 Pt 2.63-2.74, 1 Rh 2.63
Pt3 0.7311 0.9480 0.4694  5 Ni 2.49-2.75, 3 Pt 2.63-2.74, 1 Rh 2.63
Pt4 0.9480 0.4694 0.7311  5 Ni 2.49-2.75, 3 Pt 2.63-2.74, 1 Rh 2.63
Pt5 0.2689 0.0520 0.5306  5 Ni 2.49-2.75, 3 Pt 2.63-2.74, 1 Rh 2.63
Pt6 0.5306 0.2689 0.0520  5 Ni 2.49-2.75, 3 Pt 2.63-2.74, 1 Rh 2.63
Ni1 0.5770 0.5770 0.5770  4 Ni 2.48-2.49, 6 Pt 2.71-2.75
Ni2 0.1941 0.8742 0.3296  5 Ni 2.48-2.68, 3 Pt 2.49-2.58, 1 Rh 2.65
Ni3 0.4230 0.4230 0.4230  4 Ni 2.48-2.49, 6 Pt 2.71-2.75
Ni4 0.6704 0.8059 0.1258  5 Ni 2.48-2.68, 3 Pt 2.49-2.58, 1 Rh 2.65
Ni5 0.1258 0.6704 0.8059  5 Ni 2.48-2.68, 3 Pt 2.49-2.58, 1 Rh 2.65
Ni6 0.8059 0.1258 0.6704  5 Ni 2.48-2.68, 3 Pt 2.49-2.58, 1 Rh 2.65
Ni7 0.3296 0.1941 0.8742  5 Ni 2.48-2.68, 3 Pt 2.49-2.58, 1 Rh 2.65
Ni8 0.8742 0.3296 0.1941  5 Ni 2.48-2.68, 3 Pt 2.49-2.58, 1 Rh 2.65
Rh1 0.0000 0.0000 0.0000  6 Pt 2.63, 6 Ni 2.65

=====

4.
The following is a PBE-GGA calculation of a relaxed structure of Ni3Pt4Rh, from Alexandria.

Its magnetic moment is 2.1 μB per formula unit. Its volume is 14.1 Å³/atom. The calculation puts the distance to the lowest polymorph of the same formula at 129 meV per atom.

Unit cell a=4.6268 b=2.7084 c=9.4148 alpha=81.75 beta=104.22 gamma=90.00
With the nearest neighbours (Å) after each atom.
Element x y z (fractional)
Ni1 0.0000 0.5000 0.0000  4 Pt 2.58, 4 Rh 2.68, 2 Ni 2.71
Ni2 0.7557 0.7451 0.5114  4 Pt 2.59, 6 Ni 2.69-2.71
Ni3 0.2443 0.2549 0.4886  4 Pt 2.59, 6 Ni 2.69-2.71
Pt1 0.6336 0.3666 0.2671  2 Ni 2.59, 6 Pt 2.69-2.71, 2 Rh 2.76-2.77
Pt2 0.8782 0.1219 0.7563  4 Ni 2.58-2.59, 6 Pt 2.69-2.71
Pt3 0.3664 0.6334 0.7329  2 Ni 2.59, 6 Pt 2.69-2.71, 2 Rh 2.76-2.77
Pt4 0.1218 0.8781 0.2437  4 Ni 2.58-2.59, 6 Pt 2.69-2.71
Rh1 0.5000 0.0000 0.0000  4 Ni 2.68, 2 Rh 2.71, 4 Pt 2.76-2.77

=====

5.
The following is a PBE-GGA calculation of a relaxed structure of NiPt7Rh4, from Alexandria.

Its magnetic moment is 1.0 μB per formula unit. Its volume is 16.3 Å³/atom. The calculation puts the distance to the lowest polymorph of the same formula at 287 meV per atom.

Unit cell a=4.7244 b=8.7383 c=5.4486 alpha=84.07 beta=64.31 gamma=74.32
With the nearest neighbours (Å) after each atom.
Element x y z (fractional)
Rh1 0.4199 0.7710 0.3892  8 Pt 2.66-2.74, 1 Rh 2.67
Rh2 0.2762 0.3065 0.1411  7 Pt 2.66-2.78, 1 Rh 2.67
Rh3 0.5801 0.2290 0.6108  8 Pt 2.66-2.74, 1 Rh 2.67
Rh4 0.7238 0.6935 0.8589  7 Pt 2.66-2.78, 1 Rh 2.67
Pt1 0.6560 0.4567 0.2312  5 Rh 2.69-2.74, 4 Pt 2.70-2.74
Pt2 0.3440 0.5433 0.7688  5 Rh 2.69-2.74, 4 Pt 2.70-2.74
Pt3 0.5000 0.0000 0.0000  2 Ni 2.36, 2 Pt 2.64
Pt4 0.1994 0.0791 0.5221  1 Ni 2.45, 4 Pt 2.64-2.72, 4 Rh 2.66-2.71
Pt5 0.0381 0.6176 0.3063  5 Pt 2.67-2.77, 4 Rh 2.72-2.78
Pt6 0.8006 0.9209 0.4779  1 Ni 2.45, 4 Pt 2.64-2.72, 4 Rh 2.66-2.71
Pt7 0.9619 0.3824 0.6937  5 Pt 2.67-2.77, 4 Rh 2.72-2.78
Ni1 0.0000 0.0000 0.0000  4 Pt 2.36-2.45

=====

6.
The following is a PBE-GGA calculation of a relaxed structure of Ni2PtRh2, from Alexandria.

Its magnetic moment is 2.7 μB per formula unit. Its volume is 13.6 Å³/atom. The calculation puts the distance to the lowest polymorph of the same formula at 0 meV per atom.

Unit cell a=4.6626 b=5.1179 c=8.5774 alpha=46.03 beta=105.77 gamma=90.00
With the nearest neighbours (Å) after each atom.
Element x y z (fractional)
Rh1 0.5410 0.6264 0.2195  5 Ni 2.52-2.77, 2 Rh 2.64, 3 Pt 2.70-2.80
Rh2 0.4590 0.3736 0.7805  5 Ni 2.52-2.77, 2 Rh 2.64, 3 Pt 2.70-2.80
Rh3 0.6785 0.1264 0.2195  5 Ni 2.52-2.77, 2 Rh 2.64, 3 Pt 2.70-2.80
Rh4 0.3215 0.8736 0.7805  5 Ni 2.52-2.77, 2 Rh 2.64, 3 Pt 2.70-2.80
Pt1 0.9233 0.7500 0.0000  4 Ni 2.58-2.66, 2 Pt 2.66, 6 Rh 2.70-2.80
Pt2 0.0767 0.2500 0.0000  4 Ni 2.58-2.66, 2 Pt 2.66, 6 Rh 2.70-2.80
Ni1 0.7636 0.9325 0.6061  3 Ni 2.38-2.59, 3 Rh 2.52-2.62, 2 Pt 2.58-2.66
Ni2 0.1575 0.5675 0.3939  3 Ni 2.38-2.59, 3 Rh 2.52-2.62, 2 Pt 2.58-2.66
Ni3 0.8425 0.4325 0.6061  3 Ni 2.38-2.59, 3 Rh 2.52-2.62, 2 Pt 2.58-2.66
Ni4 0.2364 0.0675 0.3939  3 Ni 2.38-2.59, 3 Rh 2.52-2.62, 2 Pt 2.58-2.66

=====

7.
The following is a PBE-GGA calculation of a relaxed structure of Ni6PtRh3, from Alexandria.

Its magnetic moment is 7.4 μB per formula unit. Its volume is 12.6 Å³/atom. As for the energy: -0.459 Ry/atom.

Unit cell a=4.2445 b=6.9529 c=9.3736 alpha=114.04 beta=90.00 gamma=90.00
With the nearest neighbours (Å) after each atom.
Element x y z (fractional)
Ni1 0.7500 0.5389 0.9353  7 Rh 2.54-2.64, 5 Ni 2.61-2.68
Ni2 0.7500 0.3309 0.3286  1 Pt 2.55, 5 Rh 2.58-2.64, 6 Ni 2.58-2.67
Ni3 0.7500 0.1319 0.7374  4 Rh 2.54-2.71, 5 Ni 2.56-2.68, 3 Pt 2.60-2.72
Ni4 0.2500 0.0642 0.8712  4 Rh 2.56-2.62, 1 Pt 2.58, 7 Ni 2.58-2.62
Ni5 0.2500 0.2691 0.4639  4 Rh 2.51-2.69, 5 Ni 2.56-2.67, 3 Pt 2.60-2.72
Ni6 0.7500 0.8344 0.8314  8 Ni 2.56-2.61, 4 Rh 2.60-2.62
Ni7 0.7500 0.9358 0.1288  4 Rh 2.56-2.62, 1 Pt 2.58, 7 Ni 2.58-2.62
Ni8 0.2500 0.4611 0.0646  7 Rh 2.54-2.64, 5 Ni 2.61-2.68
Ni9 0.2500 0.8681 0.2626  4 Rh 2.54-2.71, 5 Ni 2.56-2.68, 3 Pt 2.60-2.72
Ni10 0.2500 0.6691 0.6715  1 Pt 2.55, 5 Rh 2.58-2.64, 6 Ni 2.58-2.67
Ni11 0.2500 0.1656 0.1686  8 Ni 2.56-2.61, 4 Rh 2.60-2.62
Ni12 0.7500 0.7309 0.5361  4 Rh 2.51-2.69, 5 Ni 2.56-2.67, 3 Pt 2.60-2.72
Rh1 0.2500 0.7714 0.9701  11 Ni 2.54-2.64, 1 Rh 2.66
Rh2 0.7500 0.2286 0.0299  11 Ni 2.54-2.64, 1 Rh 2.66
Rh3 0.7500 0.6328 0.2272  8 Ni 2.54-2.69, 3 Rh 2.66, 1 Pt 2.67
Rh4 0.2500 0.5570 0.3668  9 Ni 2.51-2.71, 2 Rh 2.66, 1 Pt 2.69
Rh5 0.2500 0.3672 0.7728  8 Ni 2.54-2.69, 3 Rh 2.66, 1 Pt 2.67
Rh6 0.7500 0.4430 0.6332  9 Ni 2.51-2.71, 2 Rh 2.66, 1 Pt 2.69
Pt1 0.7500 0.0382 0.4263  8 Ni 2.55-2.72, 2 Rh 2.67-2.69, 2 Pt 2.70
Pt2 0.2500 0.9618 0.5737  8 Ni 2.55-2.72, 2 Rh 2.67-2.69, 2 Pt 2.70

=====

8.
The following is a PBE-GGA calculation of a relaxed structure of Ni2Pt2Rh5, from Alexandria.

Its magnetic moment is 3.8 μB per formula unit. Its volume is 14.0 Å³/atom. As for the energy: -0.493 Ry/atom.

Unit cell a=3.8139 b=6.0643 c=6.0467 alpha=107.55 beta=108.38 gamma=90.00
With the nearest neighbours (Å) after each atom.
Element x y z (fractional)
Rh1 0.3355 0.9982 0.6709  2 Ni 2.67-2.69, 7 Rh 2.68-2.74, 3 Pt 2.73-2.74
Rh2 0.2198 0.3306 0.4397  6 Rh 2.68-2.74, 3 Ni 2.68-2.73, 3 Pt 2.70-2.73
Rh3 0.0000 0.0000 0.0000  6 Rh 2.68, 4 Ni 2.69, 2 Pt 2.72
Rh4 0.7802 0.6694 0.5603  6 Rh 2.68-2.74, 3 Ni 2.68-2.73, 3 Pt 2.70-2.73
Rh5 0.6645 0.0018 0.3291  2 Ni 2.67-2.69, 7 Rh 2.68-2.74, 3 Pt 2.73-2.74
Ni1 0.4441 0.6689 0.8882  7 Rh 2.67-2.73, 4 Pt 2.70, 1 Ni 2.74
Ni2 0.5559 0.3311 0.1118  7 Rh 2.67-2.73, 4 Pt 2.70, 1 Ni 2.74
Pt1 0.8907 0.3369 0.7814  1 Pt 2.66, 4 Ni 2.70, 7 Rh 2.70-2.74
Pt2 0.1093 0.6631 0.2186  1 Pt 2.66, 4 Ni 2.70, 7 Rh 2.70-2.74

=====

9.
The following is a PBE-GGA calculation of a relaxed structure of Ni2Pt3Rh, from Alexandria.

Its magnetic moment is 2.9 μB per formula unit. Its volume is 14.0 Å³/atom. The calculation puts the distance to the lowest polymorph of the same formula at 0 meV per atom.

Unit cell a=2.7349 b=2.7349 c=11.2100 alpha=90.00 beta=90.00 gamma=90.00
With the nearest neighbours (Å) after each atom.
Element x y z (fractional)
Rh1 0.5000 0.5000 0.5000  4 Rh 2.73, 8 Pt 2.77
Ni1 0.5000 0.5000 0.8387  8 Pt 2.65, 4 Ni 2.73
Ni2 0.5000 0.5000 0.1613  8 Pt 2.65, 4 Ni 2.73
Pt1 0.0000 0.0000 0.3226  4 Ni 2.65, 4 Pt 2.73, 4 Rh 2.77
Pt2 0.0000 0.0000 0.6774  4 Ni 2.65, 4 Pt 2.73, 4 Rh 2.77
Pt3 0.0000 0.0000 0.0000  8 Ni 2.65, 4 Pt 2.73

=====

10.
The following is a PBE-GGA calculation of a relaxed structure of Ni6Pt5Rh, from Alexandria.

Its magnetic moment is 6.8 μB per formula unit. Its volume is 13.3 Å³/atom. As for the energy: -0.448 Ry/atom.

Unit cell a=3.8389 b=7.2545 c=7.0658 alpha=120.89 beta=105.76 gamma=90.00
With the nearest neighbours (Å) after each atom.
Element x y z (fractional)
Ni1 0.5000 0.2474 0.0000  6 Pt 2.61-2.65, 2 Rh 2.63, 4 Ni 2.71
Ni2 0.1661 0.9173 0.3322  1 Rh 2.63, 7 Pt 2.63-2.66, 4 Ni 2.71-2.72
Ni3 0.1661 0.4149 0.3322  1 Rh 2.63, 7 Pt 2.63-2.66, 4 Ni 2.71-2.72
Ni4 0.5000 0.7526 0.0000  6 Pt 2.61-2.65, 2 Rh 2.63, 4 Ni 2.71
Ni5 0.8339 0.0827 0.6678  1 Rh 2.63, 7 Pt 2.63-2.66, 4 Ni 2.71-2.72
Ni6 0.8339 0.5851 0.6678  1 Rh 2.63, 7 Pt 2.63-2.66, 4 Ni 2.71-2.72
Pt1 0.6664 0.6664 0.3329  8 Ni 2.64-2.65, 4 Pt 2.71-2.73
Pt2 0.3336 0.3336 0.6671  8 Ni 2.64-2.65, 4 Pt 2.71-2.73
Pt3 0.3351 0.8351 0.6702  8 Ni 2.61-2.66, 2 Rh 2.70, 2 Pt 2.73
Pt4 0.0000 0.5000 0.0000  8 Ni 2.64-2.65, 4 Pt 2.71
Pt5 0.6649 0.1649 0.3298  8 Ni 2.61-2.66, 2 Rh 2.70, 2 Pt 2.73
Rh1 0.0000 0.0000 0.0000  8 Ni 2.63, 4 Pt 2.70

=====

- The lowest volume belongs to which entry?
  Ni6PtRh3